1.
The following is a PBE calculation of an optimized crystal structure of NdB2O4, from the Alexandria database.

Energy, eV per atom: -7.793
Symmetry: No. 5
Raw formation energy, eV/atom: -2.370

abc: 6.379 6.379 6.990
angles: 122.78 122.78 71.82
Atoms (fractional coordinates):
1 Nd 0.000 0.000 0.000
2 Nd 0.842 0.158 0.500
3 B 0.076 0.450 0.032
4 B 0.444 0.051 0.623
5 B 0.550 0.924 0.968
6 B 0.949 0.556 0.377
7 O 0.016 0.564 0.899
8 O 0.107 0.486 0.253
9 O 0.208 0.043 0.439
10 O 0.436 0.984 0.101
11 O 0.514 0.893 0.747
12 O 0.638 0.177 0.711
13 O 0.823 0.362 0.289
14 O 0.957 0.792 0.561

***

2.
The following is a PBE calculation of an optimized crystal structure of LaTb8Sm2, from the Alexandria database.

Energy, eV per atom: -4.558
Symmetry: No. 71
ΔH_f (0 K), eV per atom: 0.12

abc: 9.427 9.427 9.427
angles: 145.66 128.34 63.51
Atoms (fractional coordinates):
1 La 0.000 0.000 0.000
2 Tb 0.155 0.860 0.295
3 Tb 0.162 0.662 0.500
4 Tb 0.295 0.500 0.795
5 Tb 0.434 0.140 0.295
6 Tb 0.566 0.860 0.705
7 Tb 0.705 0.500 0.205
8 Tb 0.838 0.338 0.500
9 Tb 0.845 0.140 0.705
10 Sm 0.301 0.301 0.000
11 Sm 0.699 0.699 0.000

***

3.
The following is a PBE calculation of an optimized crystal structure of Ta2AgPt, from the Alexandria database.

Energy, eV per atom: -8.278
Symmetry: No. 10
ΔH_f (0 K), eV per atom: -0.13

abc: 2.839 4.200 5.697
angles: 90.00 90.32 90.00
Atoms (fractional coordinates):
1 Ta 0.000 0.000 0.244
2 Ta 0.000 0.000 0.756
3 Ag 0.500 0.500 0.500
4 Pt 0.500 0.500 0.000

***

4.
The following is a PBE calculation of an optimized crystal structure of CaLa2IrO6, from the Alexandria database.

Energy, eV per atom: -7.595
Symmetry: No. 14
Raw formation energy, eV/atom: -2.549

abc: 5.700 5.999 9.933
angles: 90.00 124.25 90.00
Atoms (fractional coordinates):
1 Ca 0.000 0.000 0.000
2 Ca 0.000 0.500 0.500
3 La 0.268 0.061 0.749
4 La 0.268 0.439 0.249
5 La 0.732 0.561 0.751
6 La 0.732 0.939 0.251
7 Ir 0.500 0.000 0.500
8 Ir 0.500 0.500 0.000
9 O 0.152 0.045 0.267
10 O 0.152 0.455 0.767
11 O 0.265 0.686 0.055
12 O 0.265 0.814 0.555
13 O 0.387 0.214 0.064
14 O 0.387 0.286 0.564
15 O 0.613 0.714 0.436
16 O 0.613 0.786 0.936
17 O 0.735 0.186 0.445
18 O 0.735 0.314 0.945
19 O 0.848 0.545 0.233
20 O 0.848 0.955 0.733